Entry from the Alexandria database: an optimized crystal structure of Sr2CeNdAs4 (GGA-PBE).

Properties
**Total magnetization**: 0.000 μB per cell
**Final energy**: -5.317 eV per atom

abc: 7.5429 4.3456 7.5983
angles: 90.00 109.37 90.00
Last column: nearest neighbours and their distance in Å.
Space group P2/m (No. 10)
Inequivalent atoms, fractional coordinates:
Sr  0.0000  0.0000  0.0000 x1  6 As 3.16-3.17
Sr  0.5000  0.5000  0.0000 x1  6 As 3.22
Ce  0.0000  0.5000  0.5000 x1  6 As 2.95-2.96
Nd  0.5000  0.0000  0.5000 x1  6 As 3.01-3.02
As  0.2347  0.0000  0.7227 x2  2 Ce 2.95, 1 Nd 3.02, 3 Sr 3.17-3.22
As  0.2519  0.5000  0.2727 x2  1 Ce 2.96, 2 Nd 3.01, 3 Sr 3.16-3.22